(1)
VASP calculation (PBE) on a relaxed structure of YBe3Ru.

It has space group Pm-3m (No. 221), with a = 4.5423 Å, b = 4.5423 Å, c = 4.5423 Å, α = 90.00°, β = 90.00° and γ = 90.00°. The inequivalent atoms are Y at (0.0000, 0.0000, 0.0000), Be at (0.0000, 0.0000, 0.5000) and Ru at (0.5000, 0.5000, 0.5000).

Its relative energy among the computed polymorphs is 2455 meV/atom. The crystal system is cubic. The total DFT energy (no corrections) is -15.19 eV per formula unit. The energy of formation from the pure elements is 2.347 eV/atom. The calculation puts the density of states at the Fermi level at 0.904 states/eV/atom.

---

(2)
VASP calculation (PBE) on a relaxed structure of TmZn3Pd4.

It has space group R-3m (No. 166, hexagonal axes), with a = 4.4642 Å, b = 4.4642 Å, c = 22.2594 Å, α = 90.00°, β = 90.00° and γ = 120.00°. The inequivalent atoms are Tm at (0.0000, 0.0000, 0.0000), Zn at (0.0000, 0.0000, 0.2487), Zn at (0.0000, 0.0000, 0.5000), Pd at (0.0000, 0.0000, 0.1285) and Pd at (0.0000, 0.0000, 0.3859).

The crystal system is trigonal. The total DFT energy (no corrections) is -34.27 eV per formula unit. The energy of formation from the pure elements is -0.651 eV/atom. The calculation puts the density of states at the Fermi level at 0.462 states/eV/atom.

---

(3)
VASP calculation (PBE) on a relaxed structure of Ac3AgPt2.

It has space group P-4m2 (No. 115), with a = 4.4939 Å, b = 4.4939 Å, c = 8.5526 Å, α = 90.00°, β = 90.00° and γ = 90.00°. The inequivalent atoms are Ac at (0.0000, 0.0000, 0.0000), Ac at (0.0000, 0.5000, 0.6435), Ag at (0.5000, 0.5000, 0.0000) and Pt at (0.0000, 0.5000, 0.2778).

The crystal system is tetragonal. The total DFT energy (no corrections) is -32.07 eV per formula unit. The energy of formation from the pure elements is -0.803 eV/atom. The calculation puts the density of states at the Fermi level at 0.534 states/eV/atom.

---

(4)
VASP calculation (PBE) on a relaxed structure of LuSnPt.

It has space group P-6m2 (No. 187), with a = 4.6106 Å, b = 4.6106 Å, c = 3.4974 Å, α = 90.00°, β = 90.00° and γ = 120.00°. The inequivalent atoms are Lu at (0.0000, 0.0000, 0.0000), Sn at (0.3333, 0.6667, 0.5000) and Pt at (0.6667, 0.3333, 0.5000).

The crystal system is hexagonal. The total DFT energy (no corrections) is -17.38 eV per formula unit. The energy of formation from the pure elements is -0.939 eV/atom. The calculation puts the density of states at the Fermi level at 0.718 states/eV/atom.

---

(5)
VASP calculation (PBE) on a relaxed structure of MnCdBr.

It has space group F-43m (No. 216), with a = 6.8287 Å, b = 6.8287 Å, c = 6.8287 Å, α = 90.00°, β = 90.00° and γ = 90.00°. The inequivalent atoms are Mn at (0.0000, 0.0000, 0.0000), Cd at (0.2500, 0.2500, 0.7500) and Br at (0.2500, 0.2500, 0.2500).

Its relative energy among the computed polymorphs is 391 meV/atom. The crystal system is cubic. The total DFT energy (no corrections) is -10.62 eV per formula unit. The calculation puts the density of states at the Fermi level at 1.187 states/eV/atom. The energy relative to the elements, uncorrected is 36.7 kJ/mol of atoms.

---

(6)
VASP calculation (PBE) on a relaxed structure of PmNd5Te5.

It has space group C2/m (No. 12), with a = 14.0213 Å, b = 6.2997 Å, c = 8.8761 Å, α = 90.00°, β = 108.61° and γ = 90.00°. The inequivalent atoms are Pm at (0.0000, 0.0000, 0.0000), Nd at (0.0000, 0.0000, 0.5000), Nd at (0.1632, 0.5000, 0.8227), Nd at (0.1675, 0.5000, 0.3381), Te at (0.0000, 0.5000, 0.0000), Te at (0.1643, 0.0000, 0.3318) and Te at (0.1709, 0.0000, 0.8384).

The crystal system is monoclinic. The total DFT energy (no corrections) is -57.81 eV per formula unit. The calculation puts the density of states at the Fermi level at 0.649 states/eV/atom. The energy relative to the elements, uncorrected is -118.5 kJ/mol of atoms.

---

(7)
VASP calculation (PBE) on a relaxed structure of NaTlC.

It has space group P6_3/mmc (No. 194), with a = 5.4903 Å, b = 5.4903 Å, c = 8.0616 Å, α = 90.00°, β = 90.00° and γ = 120.00°. The inequivalent atoms are Na at (0.3333, 0.6667, 0.2500), Tl at (0.0000, 0.0000, 0.2500) and C at (0.0000, 0.0000, 0.0000).

The crystal system is hexagonal. The total DFT energy (no corrections) is -8.11 eV per formula unit. The energy of formation from the pure elements is 1.600 eV/atom. The calculation puts the density of states at the Fermi level at 0.129 states/eV/atom.

---

(8)
VASP calculation (PBE) on a relaxed structure of GaIr2Cl.

It has space group Fm-3m (No. 225), with a = 6.2311 Å, b = 6.2311 Å, c = 6.2311 Å, α = 90.00°, β = 90.00° and γ = 90.00°. The inequivalent atoms are Ga at (0.0000, 0.0000, 0.0000), Ir at (0.2500, 0.2500, 0.2500) and Cl at (0.0000, 0.0000, 0.5000).

Its relative energy among the computed polymorphs is 154 meV/atom. The crystal system is cubic. The total DFT energy (no corrections) is -19.99 eV per formula unit. The calculation puts the density of states at the Fermi level at 1.031 states/eV/atom. The energy relative to the elements, uncorrected is 62.8 kJ/mol of atoms.

---

> The lowest density of states at the Fermi level belongs to which entry?

NaTlC

---

> Among the records above, which one has the lowest total DFT energy (no corrections)?

PmNd5Te5

---

Copy entry 7 word for word.
VASP calculation (PBE) on a relaxed structure of NaTlC.

It has space group P6_3/mmc (No. 194), with a = 5.4903 Å, b = 5.4903 Å, c = 8.0616 Å, α = 90.00°, β = 90.00° and γ = 120.00°. The inequivalent atoms are Na at (0.3333, 0.6667, 0.2500), Tl at (0.0000, 0.0000, 0.2500) and C at (0.0000, 0.0000, 0.0000).

The crystal system is hexagonal. The total DFT energy (no corrections) is -8.11 eV per formula unit. The energy of formation from the pure elements is 1.600 eV/atom. The calculation puts the density of states at the Fermi level at 0.129 states/eV/atom.